{"formula": "TcIr2Pt", "functional": "PBEsol", "state": "optimized geometry", "lattice": [[4.362, 0.000, 0.000], [2.181, 3.778, 0.000], [2.181, 1.259, 3.562]], "species": ["Ir", "Ir", "Pt", "Tc"], "frac_coords": [[0.250, 0.250, 0.250], [0.750, 0.750, 0.750], [0.000, 0.000, 0.000], [0.500, 0.500, 0.500]], "formation_energy_ev_per_atom": 0.4296, "polymorph_energy_mev_per_atom": 566, "mass_density_g_cm3": 19.2}